Record 1
## K2GaI3 (PBE-GGA)

Data for an optimized crystal structure of K2GaI3.

Cell: 14.5836 8.5734 9.1200 Å, 90.00 90.00 90.00°
Space group Cmcm (No. 63)
One atom of each set of equivalent atoms:
1 K 0.1787 0.1790 0.2500 (multiplicity 8)
2 Ga 0.0000 0.4344 0.7500 (multiplicity 4)
3 I 0.0000 0.0925 0.7500 (multiplicity 4)
4 I 0.1678 0.5000 0.0000 (multiplicity 8)

Values from the calculation:
M_tot = 0.0 μB per formula unit
DOS(E_F) = 0.00 states/eV per cell
Crystal system = orthorhombic
E_form (uncorrected) = -1040 meV per atom
Energy above the lowest structure with this stoichiometry = 0.0509 eV/atom

Record 2
## Ce4Th2Sb3H2 (PBE-GGA)

Data for an optimized crystal structure of Ce4Th2Sb3H2.

Cell: 4.5126 4.5126 27.0999 Å, 90.00 90.00 90.00°
Space group I4/mmm (No. 139)
One atom of each set of equivalent atoms:
1 Ce 0.0000 0.5000 0.0841 (multiplicity 8)
2 Th 0.0000 0.0000 0.2042 (multiplicity 4)
3 Sb 0.0000 0.0000 0.3256 (multiplicity 4)
4 Sb 0.0000 0.0000 0.5000 (multiplicity 2)
5 H 0.0000 0.0000 0.0652 (multiplicity 4)

Values from the calculation:
M_tot = 3.1 μB per formula unit
Total energy = -128.4 eV/cell
DOS(E_F) = 42.44 states/eV per cell
Crystal system = tetragonal

Record 3
## Cu14NiSn (PBE-GGA)

Data for an optimized crystal structure of Cu14NiSn.

Cell: 8.4926 5.1672 9.1007 Å, 90.00 90.00 90.00°
Space group Amm2 (No. 38)
One atom of each set of equivalent atoms:
1 Cu 0.0000 0.0000 0.0000 (multiplicity 2)
2 Cu 0.0000 0.0000 0.4987 (multiplicity 2)
3 Cu 0.0000 0.2496 0.2503 (multiplicity 4)
4 Cu 0.2409 0.0000 0.8393 (multiplicity 4)
5 Cu 0.2418 0.2445 0.0835 (multiplicity 8)
6 Cu 0.2492 0.0000 0.3339 (multiplicity 4)
7 Cu 0.5000 0.2483 0.9216 (multiplicity 4)
8 Ni 0.5000 0.0000 0.1705 (multiplicity 2)
9 Sn 0.5000 0.0000 0.6711 (multiplicity 2)

Values from the calculation:
ΔE_f = 10 kJ/mol of formula units
M_tot = 0.0 μB per formula unit
DOS(E_F) = 6.74 states/eV per cell
Crystal system = orthorhombic